No. 1
DFT (GGA-PBE) results for crystalline MnFeP2 at its relaxed geometry.

Results
ρ: 6208 kg/m³
Offset from the most stable computed form: 234 meV/atom
Total DFT energy (no corrections): -7.47 eV per atom
Crystal system: orthorhombic
Formation energy from the elements: -0.357 eV/atom

a b c (Å): 6.506 6.506 6.506
angles (deg): 156.00 155.61 34.48
Positions (direct):
Mn1 0.000 0.000 0.000
Fe1 0.790 0.790 0.000
P1 0.394 0.394 0.000
P2 0.645 0.145 0.500



No. 2
DFT (GGA-PBE) results for crystalline Ac3GaCo3 at its relaxed geometry.

Results
ρ: 9569 kg/m³
Total DFT energy (no corrections): -5.34 eV per atom
Crystal system: orthorhombic
Formation energy from the elements: -0.098 eV/atom

a b c (Å): 5.872 5.872 14.196
angles (deg): 90.00 90.00 138.88
Positions (direct):
Ac1 0.002 0.998 0.750
Ac2 0.278 0.722 0.607
Ac3 0.278 0.722 0.893
Ac4 0.722 0.278 0.107
Ac5 0.722 0.278 0.393
Ac6 0.998 0.002 0.250
Ga1 0.000 0.000 0.000
Ga2 0.000 0.000 0.500
Co1 0.305 0.695 0.250
Co2 0.433 0.567 0.083
Co3 0.433 0.567 0.417
Co4 0.567 0.433 0.583
Co5 0.567 0.433 0.917
Co6 0.695 0.305 0.750



No. 3
DFT (GGA-PBE) results for crystalline EuMg2Bi at its relaxed geometry.

Results
ρ: 6132 kg/m³
Offset from the most stable computed form: 0 meV/atom
Total DFT energy (no corrections): -4.72 eV per atom
Crystal system: tetragonal
Formation energy from the elements: -0.380 eV/atom

a b c (Å): 4.676 4.676 5.072
angles (deg): 90.00 90.00 90.00
Positions (direct):
Eu1 0.000 0.000 0.000
Mg1 0.000 0.500 0.500
Mg2 0.500 0.000 0.500
Bi1 0.500 0.500 0.000



No. 4
DFT (GGA-PBE) results for crystalline PmSmEuAg at its relaxed geometry.

Results
ρ: 7794 kg/m³
Total DFT energy (no corrections): -5.52 eV per atom
Crystal system: cubic
Formation energy from the elements: 0.132 eV/atom

a b c (Å): 5.510 5.510 5.510
angles (deg): 60.00 60.00 60.00
Positions (direct):
Pm1 0.000 0.000 0.000
Sm1 0.750 0.750 0.750
Eu1 0.250 0.250 0.250
Ag1 0.500 0.500 0.500



No. 5
DFT (GGA-PBE) results for crystalline AcNd2Ga2Hg2 at its relaxed geometry.

Results
ρ: 8951 kg/m³
Total DFT energy (no corrections): -3.30 eV per atom
Crystal system: trigonal
Formation energy from the elements: -0.401 eV/atom

a b c (Å): 10.470 10.470 10.470
angles (deg): 26.11 26.11 26.11
Positions (direct):
Ac1 0.000 0.000 0.000
Nd1 0.131 0.131 0.131
Nd2 0.869 0.869 0.869
Ga1 0.248 0.248 0.248
Ga2 0.752 0.752 0.752
Hg1 0.402 0.402 0.402
Hg2 0.598 0.598 0.598



No. 6
DFT (GGA-PBE) results for crystalline PrP3Rh3 at its relaxed geometry.

Results
ρ: 6755 kg/m³
Total DFT energy (no corrections): -7.03 eV per atom
Crystal system: trigonal
Formation energy from the elements: -0.873 eV/atom

a b c (Å): 7.806 7.806 7.806
angles (deg): 51.21 51.21 51.21
Positions (direct):
Pr1 0.166 0.166 0.166
Pr2 0.834 0.834 0.834
P1 0.090 0.726 0.403
P2 0.274 0.597 0.910
P3 0.403 0.090 0.726
P4 0.597 0.910 0.274
P5 0.726 0.403 0.090
P6 0.910 0.274 0.597
Rh1 0.035 0.382 0.716
Rh2 0.284 0.965 0.618
Rh3 0.382 0.716 0.035
Rh4 0.618 0.284 0.965
Rh5 0.716 0.035 0.382
Rh6 0.965 0.618 0.284



No. 7
DFT (GGA-PBE) results for crystalline TbMgTl at its relaxed geometry.

Results
ρ: 8141 kg/m³
Total DFT energy (no corrections): -3.02 eV per atom
Crystal system: tetragonal
Formation energy from the elements: -0.151 eV/atom

a b c (Å): 6.781 6.781 6.781
angles (deg): 149.72 149.72 43.36
Positions (direct):
Tb1 0.000 0.000 0.000
Mg1 0.681 0.681 0.000
Tl1 0.328 0.328 0.000



No. 8
DFT (GGA-PBE) results for crystalline Mg2CdSe at its relaxed geometry.

Results
ρ: 4395 kg/m³
Offset from the most stable computed form: 309 meV/atom
Total DFT energy (no corrections): -2.08 eV per atom
Crystal system: cubic

a b c (Å): 5.043 5.043 5.043
angles (deg): 60.00 60.00 60.00
Positions (direct):
Mg1 0.250 0.250 0.250
Mg2 0.750 0.750 0.750
Cd1 0.000 0.000 0.000
Se1 0.500 0.500 0.500



Look up the total DFT energy (no corrections) of the eighth one.
-2.08 eV per atom



The highest ρ belongs to which entry?
Ac3GaCo3



Look up the total DFT energy (no corrections) of the second one.
-5.34 eV per atom



Look up the ρ of the second one.
9569 kg/m³